# 1
BeTl2 | PBE-GGA | optimized geometry

a = 5.4730 Å, b = 5.4730 Å, c = 2.9797 Å
α = 90.00°, β = 90.00°, γ = 120.00°
Last column: nearest neighbours and their distance in Å.
Fractional positions:
Be 0.0000 0.0000 0.0000  2 Be 2.98
Tl 0.3333 0.6667 0.5000  5 Tl 2.98-3.16
Tl 0.6667 0.3333 0.5000  5 Tl 2.98-3.16

Summary:
calculated formation energy	0.81	eV/atom
size of the total moment	0.00	μB/f.u.
ΔE to the lowest computed polymorph	0.398	eV/atom
E	-2.008	eV/atom

# 2
Be2Tl | PBE-GGA | optimized geometry

a = 4.3762 Å, b = 4.3762 Å, c = 5.4652 Å
α = 90.00°, β = 90.00°, γ = 120.00°
Last column: nearest neighbours and their distance in Å.
Fractional positions:
Be 0.0000 0.0000 0.0000  8 Be 2.73-2.87, 6 Tl 2.87
Be 0.0000 0.0000 0.5000  8 Be 2.73-2.87, 6 Tl 2.87
Be 0.3333 0.6667 0.2500  5 Tl 2.53-2.73
Be 0.6667 0.3333 0.7500  5 Tl 2.53-2.73
Tl 0.6667 0.3333 0.2500  5 Be 2.53-2.73
Tl 0.3333 0.6667 0.7500  5 Be 2.53-2.73

Summary:
calculated formation energy	0.90	eV/atom
size of the total moment	0.00	μB/f.u.
ΔE to the lowest computed polymorph	0.629	eV/atom
E	-2.374	eV/atom

# 3
BeTl | PBE-GGA | optimized geometry

a = 3.4321 Å, b = 3.4321 Å, c = 3.8205 Å
α = 90.00°, β = 90.00°, γ = 120.00°
Last column: nearest neighbours and their distance in Å.
Fractional positions:
Be 0.0000 0.0000 0.0000  6 Tl 2.75
Tl 0.6667 0.3333 0.5000  6 Be 2.75

Summary:
calculated formation energy	0.82	eV/atom
size of the total moment	0.00	μB/f.u.
ΔE to the lowest computed polymorph	0.385	eV/atom
E	-2.224	eV/atom

# 4
Be2Tl | PBE-GGA | optimized geometry

a = 6.9998 Å, b = 6.9998 Å, c = 3.2284 Å
α = 90.00°, β = 90.00°, γ = 120.00°
Last column: nearest neighbours and their distance in Å.
Fractional positions:
Be 0.2939 0.0000 0.0000  4 Tl 2.48-2.62
Be 0.0000 0.2939 0.0000  4 Tl 2.48-2.62
Be 0.7061 0.7061 0.0000  4 Tl 2.48-2.62
Be 0.6445 0.0000 0.5000  5 Tl 2.49-2.78
Be 0.0000 0.6445 0.5000  5 Tl 2.49-2.78
Be 0.3555 0.3555 0.5000  5 Tl 2.49-2.78
Tl 0.3333 0.6667 0.0000  9 Be 2.48-2.78
Tl 0.6667 0.3333 0.0000  9 Be 2.48-2.78
Tl 0.0000 0.0000 0.5000  9 Be 2.49-2.62

Summary:
calculated formation energy	0.86	eV/atom
size of the total moment	0.00	μB/f.u.
ΔE to the lowest computed polymorph	0.592	eV/atom
E	-2.411	eV/atom

# 5
BeTl2 | PBE-GGA | optimized geometry

a = 7.2609 Å, b = 7.2609 Å, c = 4.5261 Å
α = 90.00°, β = 90.00°, γ = 120.00°
Last column: nearest neighbours and their distance in Å.
Fractional positions:
Be 0.3333 0.6667 0.0000  3 Tl 2.68
Be 0.6667 0.3333 0.0000  3 Tl 2.68
Be 0.0000 0.0000 0.5000  9 Tl 2.86-3.00
Tl 0.2707 0.0000 0.0000  4 Be 2.68-3.00
Tl 0.0000 0.2707 0.0000  4 Be 2.68-3.00
Tl 0.7293 0.7293 0.0000  4 Be 2.68-3.00
Tl 0.6055 0.0000 0.5000  5 Be 2.86-3.18
Tl 0.0000 0.6055 0.5000  5 Be 2.86-3.18
Tl 0.3945 0.3945 0.5000  5 Be 2.86-3.18

Summary:
calculated formation energy	0.54	eV/atom
size of the total moment	0.00	μB/f.u.
ΔE to the lowest computed polymorph	0.129	eV/atom
E	-2.278	eV/atom

# 6
Be2Tl | PBE-GGA | optimized geometry

a = 3.0831 Å, b = 3.0831 Å, c = 4.9987 Å
α = 90.00°, β = 90.00°, γ = 90.00°
Last column: nearest neighbours and their distance in Å.
Fractional positions:
Be 0.0000 0.5000 0.5000  4 Be 2.18
Be 0.5000 0.0000 0.5000  4 Be 2.18
Tl 0.0000 0.0000 0.0000  8 Be 2.94, 4 Tl 3.08

Summary:
calculated formation energy	0.65	eV/atom
size of the total moment	0.00	μB/f.u.
ΔE to the lowest computed polymorph	0.384	eV/atom
E	-2.620	eV/atom

# 7
BeTl | PBE-GGA | optimized geometry

a = 2.9336 Å, b = 3.1799 Å, c = 8.9018 Å
α = 89.91°, β = 90.05°, γ = 90.00°
Last column: nearest neighbours and their distance in Å.
Fractional positions:
Be 0.9878 0.4353 0.1933  4 Be 2.25
Be 0.4881 0.9349 0.2610  4 Be 2.25
Tl 0.4955 0.9446 0.9289  4 Tl 2.93-3.18, 5 Be 2.96-3.22
Tl 0.9964 0.4396 0.5251  4 Tl 2.93-3.18, 5 Be 2.95-3.21

Summary:
calculated formation energy	0.52	eV/atom
size of the total moment	0.00	μB/f.u.
ΔE to the lowest computed polymorph	0.085	eV/atom
E	-2.523	eV/atom

# 8
Be5Tl | PBE-GGA | optimized geometry

a = 4.6907 Å, b = 4.6907 Å, c = 3.6479 Å
α = 90.00°, β = 90.00°, γ = 120.00°
Last column: nearest neighbours and their distance in Å.
Fractional positions:
Be 0.3333 0.6667 0.0000  6 Be 2.27
Be 0.6667 0.3333 0.0000  6 Be 2.27
Be 0.5000 0.0000 0.5000  8 Be 2.27-2.35
Be 0.0000 0.5000 0.5000  8 Be 2.27-2.35
Be 0.5000 0.5000 0.5000  8 Be 2.27-2.35
Tl 0.0000 0.0000 0.0000  18 Be 2.71-2.97

Summary:
calculated formation energy	0.47	eV/atom
size of the total moment	0.00	μB/f.u.
ΔE to the lowest computed polymorph	0.116	eV/atom
E	-3.032	eV/atom